{"formula": "Li3Pd2Pb2", "functional": "PBE", "state": "optimized geometry", "lattice_angstrom": [[-3.101, 3.172, 0.541], [-0.935, -0.401, -3.007], [-4.752, -8.233, 2.575]], "species": ["Li", "Pb", "Pd", "Li", "Pd", "Pb", "Li"], "fractional_positions": [[0.280, 0.000, 0.560], [0.590, 0.500, 0.178], [0.858, 0.000, 0.718], [0.720, 0.000, 0.440], [0.142, 0.000, 0.282], [0.410, 0.500, 0.822], [0.000, 0.000, 0.000]], "de_polymorph_ev_per_fu": 1.26, "magnetic_moment_mub_per_atom": 0.000, "space_group": "P2/m", "delta_e_f_ev_per_atom": -0.24}

---

{"formula": "Li3Pd3Pb", "functional": "PBE", "state": "optimized geometry", "lattice_angstrom": [[6.496, 0.000, 0.000], [0.000, 6.496, 0.000], [0.000, 0.000, 6.496]], "species": ["Li", "Pd", "Pb", "Pd", "Pd", "Pd", "Pd", "Li", "Li", "Li", "Pb", "Li", "Li", "Pd"], "fractional_positions": [[0.000, 0.250, 0.500], [0.250, 0.000, 0.500], [0.500, 0.500, 0.500], [0.500, 0.250, 0.000], [0.000, 0.500, 0.250], [0.750, 0.000, 0.500], [0.000, 0.500, 0.750], [0.000, 0.750, 0.500], [0.250, 0.500, 0.000], [0.500, 0.000, 0.250], [0.000, 0.000, 0.000], [0.750, 0.500, 0.000], [0.500, 0.000, 0.750], [0.500, 0.750, 0.000]], "de_polymorph_ev_per_fu": 4.56, "magnetic_moment_mub_per_atom": 0.000, "space_group": "Pm-3n", "delta_e_f_ev_per_atom": 0.26}

---

{"formula": "LiPd5Pb2", "functional": "PBE", "state": "optimized geometry", "lattice_angstrom": [[-3.653, -0.060, 4.596], [3.888, -3.171, 3.048], [1.550, 4.984, -2.465]], "species": ["Pd", "Pb", "Pd", "Pd", "Pd", "Pb", "Pd", "Li"], "fractional_positions": [[0.222, 0.222, 0.944], [0.722, 0.222, 0.444], [0.722, 0.222, 0.944], [0.722, 0.722, 0.445], [0.222, 0.722, 0.944], [0.222, 0.722, 0.444], [0.722, 0.722, 0.944], [0.222, 0.222, 0.444]], "magnetic_moment_mub_per_atom": 0.000, "space_group": "C2/m", "delta_e_f_ev_per_atom": -0.34}

---

{"formula": "Li6Pd2Pb", "functional": "PBE", "state": "optimized geometry", "lattice_angstrom": [[-4.991, 1.518, 0.264], [-0.473, -3.573, 3.778], [1.723, 3.747, 3.202]], "species": ["Li", "Li", "Li", "Pb", "Li", "Pd", "Pd", "Li", "Li"], "fractional_positions": [[0.500, 0.827, 0.173], [0.827, 0.174, 0.500], [0.827, 0.500, 0.174], [0.000, 0.000, 0.000], [0.500, 0.173, 0.827], [0.661, 0.662, 0.662], [0.339, 0.338, 0.338], [0.173, 0.826, 0.500], [0.173, 0.500, 0.826]], "de_polymorph_ev_per_fu": 0.00, "magnetic_moment_mub_per_atom": 0.000, "space_group": "R-3m", "delta_e_f_ev_per_atom": -0.36}

---

{"formula": "LiPd6Pb5", "functional": "PBE", "state": "optimized geometry", "lattice_angstrom": [[-1.868, -4.216, -1.779], [5.795, -3.255, 1.630], [-0.549, -4.964, 6.412]], "species": ["Pd", "Li", "Pd", "Pb", "Pb", "Pd", "Pd", "Pb", "Pb", "Pb", "Pd", "Pd"], "fractional_positions": [[0.500, 0.224, 0.000], [0.000, 0.000, 0.000], [0.789, 0.069, 0.312], [0.717, 0.170, 0.661], [0.668, 0.664, 0.673], [0.211, 0.381, 0.688], [0.789, 0.619, 0.312], [0.332, 0.336, 0.327], [0.283, 0.830, 0.339], [0.000, 0.500, 0.000], [0.500, 0.776, 0.000], [0.211, 0.931, 0.688]], "magnetic_moment_mub_per_atom": 0.000, "space_group": "C2/m", "delta_e_f_ev_per_atom": -0.23}

---

{"formula": "Li2Pd3Pb", "functional": "PBE", "state": "optimized geometry", "lattice_angstrom": [[4.437, 0.000, 0.000], [-2.218, 3.842, 0.000], [0.000, 0.000, 5.584]], "species": ["Pd", "Li", "Li", "Pd", "Pd", "Pb"], "fractional_positions": [[0.333, 0.667, 0.200], [0.667, 0.333, 0.334], [0.333, 0.667, 0.666], [0.667, 0.333, 0.800], [0.000, 0.000, 0.500], [0.000, 0.000, 0.000]], "de_polymorph_ev_per_fu": 0.00, "magnetic_moment_mub_per_atom": 0.000, "space_group": "P-3m1", "delta_e_f_ev_per_atom": -0.42}

---

{"formula": "LiPd5Pb4", "functional": "PBE", "state": "optimized geometry", "lattice_angstrom": [[5.774, 0.000, 0.000], [2.887, 5.942, 0.000], [2.887, 0.000, 5.942]], "species": ["Pd", "Pb", "Li", "Pd", "Pd", "Pd", "Pb", "Pd", "Pb", "Pb"], "fractional_positions": [[0.281, 0.854, 0.670], [0.619, 0.622, 0.234], [0.801, 0.000, 0.000], [0.952, 0.330, 0.854], [0.805, 0.146, 0.330], [0.135, 0.670, 0.146], [0.241, 0.234, 0.378], [0.348, 0.000, 0.000], [0.475, 0.378, 0.766], [0.853, 0.766, 0.622]], "magnetic_moment_mub_per_atom": 0.000, "space_group": "I4", "delta_e_f_ev_per_atom": -0.22}

---

{"formula": "Li3PdPb2", "functional": "PBE", "state": "optimized geometry", "lattice_angstrom": [[5.778, 0.000, 0.000], [0.000, 5.879, 0.000], [-2.889, -2.940, 6.899]], "species": ["Li", "Pd", "Pb", "Pb", "Li", "Li", "Pb", "Pd", "Pb", "Li", "Li", "Li"], "fractional_positions": [[0.500, 0.250, 0.000], [0.000, 0.750, 0.000], [0.091, 0.347, 0.693], [0.909, 0.653, 0.307], [0.893, 0.137, 0.274], [0.500, 0.750, 0.000], [0.398, 0.153, 0.307], [0.000, 0.250, 0.000], [0.602, 0.847, 0.693], [0.107, 0.863, 0.726], [0.619, 0.363, 0.726], [0.381, 0.637, 0.274]], "de_polymorph_ev_per_fu": 0.05, "magnetic_moment_mub_per_atom": 0.000, "space_group": "Ibam", "delta_e_f_ev_per_atom": -0.27}

---

{"formula": "LiPd9Pb2", "functional": "PBE", "state": "optimized geometry", "lattice_angstrom": [[-2.704, -2.526, 1.694], [0.553, -2.638, -3.050], [8.775, -5.270, 6.149]], "species": ["Pd", "Pd", "Pd", "Pd", "Pd", "Li", "Pd", "Pd", "Pd", "Pb", "Pd", "Pb"], "fractional_positions": [[0.500, 0.500, 0.327], [0.500, 0.000, 0.154], [0.500, 0.000, 0.846], [0.500, 0.500, 0.673], [0.500, 0.500, 0.000], [0.000, 0.000, 0.000], [0.000, 0.500, 0.846], [0.500, 0.000, 0.500], [0.000, 0.500, 0.500], [0.000, 0.000, 0.675], [0.000, 0.500, 0.154], [0.000, 0.000, 0.325]], "magnetic_moment_mub_per_atom": 0.000, "space_group": "P4/mmm", "delta_e_f_ev_per_atom": -0.25}

---

{"formula": "Li3Pd7Pb", "functional": "PBE", "state": "optimized geometry", "lattice_angstrom": [[5.003, 0.729, 0.933], [-1.458, 5.762, 0.816], [-1.458, -0.606, 5.788]], "species": ["Pd", "Pb", "Pd", "Pd", "Pd", "Pd", "Li", "Li", "Pd", "Pd", "Li"], "fractional_positions": [[0.217, 0.222, 0.222], [0.500, 0.500, 0.500], [0.261, 0.923, 0.586], [0.739, 0.414, 0.077], [0.783, 0.778, 0.778], [0.739, 0.077, 0.414], [0.000, 0.186, 0.814], [0.500, 0.000, 0.000], [0.000, 0.500, 0.500], [0.261, 0.586, 0.923], [0.000, 0.814, 0.186]], "magnetic_moment_mub_per_atom": 0.000, "space_group": "C2/m", "delta_e_f_ev_per_atom": -0.21}

---

{"formula": "LiPd8Pb6", "functional": "PBE", "state": "optimized geometry", "lattice_angstrom": [[-3.808, 6.172, 3.531], [-7.211, -1.141, 3.431], [-1.127, 0.425, 7.255]], "species": ["Pb", "Pd", "Pd", "Pd", "Pd", "Pb", "Li", "Pd", "Pb", "Pd", "Pd", "Pb", "Pb", "Pd", "Pb"], "fractional_positions": [[0.121, 0.681, 0.790], [0.295, 0.295, 0.115], [0.705, 0.705, 0.885], [0.068, 0.423, 0.687], [0.577, 0.177, 0.313], [0.319, 0.592, 0.210], [0.000, 0.000, 0.000], [0.823, 0.068, 0.687], [0.592, 0.879, 0.210], [0.423, 0.823, 0.687], [0.177, 0.932, 0.313], [0.408, 0.121, 0.790], [0.681, 0.408, 0.790], [0.932, 0.577, 0.313], [0.879, 0.319, 0.210]], "magnetic_moment_mub_per_atom": 0.000, "space_group": "R-3", "delta_e_f_ev_per_atom": -0.15}

---

{"formula": "LiPd4Pb4", "functional": "PBE", "state": "optimized geometry", "lattice_angstrom": [[-3.136, 3.100, 3.416], [-5.225, 1.795, -6.425], [-4.670, -6.812, 1.894]], "species": ["Pd", "Pb", "Pd", "Pb", "Pd", "Pd", "Pb", "Pd", "Pd", "Pb", "Pb", "Pb", "Pb", "Pb", "Pd", "Li", "Pd", "Li"], "fractional_positions": [[0.390, 0.608, 0.756], [0.609, 0.078, 0.297], [0.390, 0.392, 0.244], [0.891, 0.422, 0.203], [0.890, 0.256, 0.892], [0.610, 0.244, 0.608], [0.891, 0.578, 0.797], [0.110, 0.108, 0.256], [0.610, 0.756, 0.392], [0.391, 0.703, 0.078], [0.609, 0.922, 0.703], [0.391, 0.297, 0.922], [0.109, 0.203, 0.578], [0.109, 0.797, 0.422], [0.110, 0.892, 0.744], [0.500, 0.500, 0.500], [0.890, 0.744, 0.108], [0.000, 0.000, 0.000]], "magnetic_moment_mub_per_atom": 0.000, "space_group": "P4_2/n", "delta_e_f_ev_per_atom": -0.15}